Density functional theory data (PBE) for a relaxed ZrCd2In crystal.

a b c (Å): 6.119 6.119 2.975
angles (deg): 101.09 101.09 119.95
Fractional coordinates of all 4 atoms:
Zr: 0.000 0.000 0.000
Cd: 0.000 0.500 0.500
Cd: 0.500 0.000 0.500
In: 0.500 0.500 0.000


Density functional theory data (PBE) for a relaxed Zr2CdIn crystal.

a b c (Å): 4.453 4.453 4.423
angles (deg): 90.00 90.00 90.00
Fractional coordinates of all 4 atoms:
Zr: 0.000 0.500 0.000
Zr: 0.500 0.000 0.000
Cd: 0.000 0.000 0.500
In: 0.500 0.500 0.500


Density functional theory data (PBE) for a relaxed Zr3Cd3In crystal.

a b c (Å): 8.452 8.452 5.016
angles (deg): 90.00 90.00 120.00
Fractional coordinates of all 14 atoms:
Zr: 0.105 0.468 0.250
Zr: 0.362 0.895 0.250
Zr: 0.468 0.362 0.750
Zr: 0.532 0.638 0.250
Zr: 0.638 0.105 0.750
Zr: 0.895 0.532 0.750
Cd: 0.045 0.237 0.750
Cd: 0.192 0.955 0.750
Cd: 0.237 0.192 0.250
Cd: 0.763 0.808 0.750
Cd: 0.808 0.045 0.250
Cd: 0.955 0.763 0.250
In: 0.333 0.667 0.750
In: 0.667 0.333 0.250


Density functional theory data (PBE) for a relaxed Zr2CdIn crystal.

a b c (Å): 3.304 4.339 6.348
angles (deg): 90.00 90.00 90.00
Fractional coordinates of all 4 atoms:
Zr: 0.000 0.000 0.000
Zr: 0.500 0.500 0.243
Cd: 0.000 0.000 0.491
In: 0.500 0.500 0.750


Density functional theory data (PBE) for a relaxed Zr4Cd2In crystal.

a b c (Å): 5.513 10.182 5.795
angles (deg): 90.00 90.55 90.00
Fractional coordinates of all 14 atoms:
Zr: 0.001 0.191 0.000
Zr: 0.001 0.309 0.500
Zr: 0.498 0.750 0.250
Zr: 0.498 0.750 0.750
Zr: 0.502 0.250 0.250
Zr: 0.502 0.250 0.750
Zr: 0.999 0.691 0.500
Zr: 0.999 0.809 0.000
Cd: 0.243 0.001 0.494
Cd: 0.243 0.499 0.994
Cd: 0.757 0.501 0.006
Cd: 0.757 0.999 0.506
In: 0.500 0.000 0.000
In: 0.500 0.500 0.500


Density functional theory data (PBE) for a relaxed Zr2CdIn crystal.

a b c (Å): 5.980 5.980 5.235
angles (deg): 115.03 115.03 32.13
Fractional coordinates of all 4 atoms:
Zr: 0.000 0.000 0.000
Zr: 0.249 0.249 0.765
Cd: 0.753 0.753 0.270
In: 0.489 0.489 0.488


Density functional theory data (PBE) for a relaxed Zr2Cd6In crystal.

a b c (Å): 8.220 8.220 8.220
angles (deg): 145.64 136.48 56.59
Fractional coordinates of all 9 atoms:
Zr: 0.101 0.101 0.000
Zr: 0.899 0.899 0.000
Cd: 0.051 0.300 0.751
Cd: 0.234 0.500 0.734
Cd: 0.451 0.700 0.751
Cd: 0.549 0.300 0.249
Cd: 0.766 0.500 0.266
Cd: 0.949 0.700 0.249
In: 0.500 0.000 0.500


Density functional theory data (PBE) for a relaxed ZrCd2In crystal.

a b c (Å): 3.205 3.205 8.720
angles (deg): 90.00 90.00 90.00
Fractional coordinates of all 4 atoms:
Zr: 0.000 0.000 0.000
Cd: 0.000 0.000 0.491
Cd: 0.500 0.500 0.248
In: 0.500 0.500 0.752


no.,energy (eV/atom)
1,-3.35
2,-5.41
3,-4.57
4,-5.27
5,-5.49
6,-5.35
7,-2.76
8,-3.35